Record 1
The following is a DFT calculation (PBE) of a relaxed structure of PaOsRh.

Properties
Energy of formation from the pure elements = -212 meV per atom
Symmetry = P-6m2, No. 187
E above lowest polymorph = 287.4 meV/atom
Calculated volume = 19.76 Å³/atom

Unit cell a=3.6560 b=4.3275 c=4.3275 alpha=120.00 beta=90.00 gamma=90.00
With the nearest neighbours (Å) after each atom.
Fractional coordinates of all 3 atoms:
Os1 0.1667 0.0000 0.0000  3 Rh 2.50
Rh1 0.1666 0.6667 0.3333  3 Os 2.50
Pa1 0.6667 0.3333 0.6667  6 Rh 3.10, 6 Os 3.10

Record 2
The following is a DFT calculation (PBE) of a relaxed structure of Pa2OsRh.

Properties
Energy of formation from the pure elements = -398 meV per atom
Symmetry = P4/mmm, No. 123
E above lowest polymorph = 228.7 meV/atom
Calculated volume = 20.32 Å³/atom

Unit cell a=3.2667 b=4.9882 c=4.9882 alpha=90.00 beta=90.00 gamma=90.00
With the nearest neighbours (Å) after each atom.
Fractional coordinates of all 4 atoms:
Pa1 0.0000 0.0000 0.5000  4 Os 2.98, 4 Rh 2.98, 2 Pa 3.27
Pa2 0.0000 0.5000 0.0000  4 Os 2.98, 4 Rh 2.98, 2 Pa 3.27
Rh1 0.5000 0.0000 0.0000  8 Pa 2.98, 2 Rh 3.27
Os1 0.5000 0.5000 0.5000  8 Pa 2.98, 2 Os 3.27

Record 3
The following is a DFT calculation (PBE) of a relaxed structure of PaOsRh.

Properties
Energy of formation from the pure elements = -500 meV per atom
Symmetry = P6_3/mmc, No. 194
E above lowest polymorph = 0.0 meV/atom
Calculated volume = 18.12 Å³/atom

Unit cell a=4.6746 b=5.7473 c=4.6729 alpha=90.00 beta=120.01 gamma=90.00
With the nearest neighbours (Å) after each atom.
Fractional coordinates of all 6 atoms:
Pa1 0.6667 0.7500 0.8334  5 Rh 2.70-2.87
Pa2 0.3333 0.2500 0.1666  5 Rh 2.70-2.87
Os1 0.0000 0.5000 0.5000  2 Os 2.87, 6 Pa 3.06, 6 Rh 3.06
Os2 0.0000 0.0000 0.5000  2 Os 2.87, 6 Pa 3.06, 6 Rh 3.06
Rh1 0.6667 0.2500 0.8334  5 Pa 2.70-2.87
Rh2 0.3333 0.7500 0.1666  5 Pa 2.70-2.87

Record 4
The following is a DFT calculation (PBE) of a relaxed structure of PaOs2Rh.

Properties
Energy of formation from the pure elements = -368 meV per atom
Symmetry = P4/mmm, No. 123
Calculated volume = 16.86 Å³/atom

Unit cell a=4.1083 b=4.0521 c=4.0521 alpha=90.00 beta=90.00 gamma=90.00
With the nearest neighbours (Å) after each atom.
Fractional coordinates of all 4 atoms:
Os1 0.0000 0.5000 0.0000  4 Os 2.87, 4 Pa 2.89, 4 Rh 2.89
Os2 0.0000 0.0000 0.5000  4 Os 2.87, 4 Pa 2.89, 4 Rh 2.89
Pa1 0.5000 0.5000 0.5000  4 Rh 2.87, 8 Os 2.89
Rh1 0.5000 0.0000 0.0000  4 Pa 2.87, 8 Os 2.89

Record 5
The following is a DFT calculation (PBE) of a relaxed structure of Pa3OsRh.

Properties
Energy of formation from the pure elements = -355 meV per atom
Symmetry = C2/c, No. 15
Calculated volume = 22.23 Å³/atom

Unit cell a=6.0848 b=8.6683 c=8.6683 alpha=95.17 beta=98.34 gamma=98.34
With the nearest neighbours (Å) after each atom.
Fractional coordinates of all 20 atoms:
Pa1 0.6508 0.9623 0.3265  2 Rh 2.70-3.02, 2 Os 2.80-2.87, 1 Pa 2.94
Pa2 0.3492 0.0377 0.6735  2 Rh 2.70-3.02, 2 Os 2.80-2.87, 1 Pa 2.94
Pa3 0.0210 0.6990 0.4865  3 Os 2.84-2.88, 1 Pa 2.85, 1 Rh 2.93
Pa4 0.8995 0.8999 0.7282  1 Os 2.75, 3 Rh 2.76-3.08, 2 Pa 2.85-2.94
Pa5 0.6005 0.2718 0.1001  1 Os 2.75, 3 Rh 2.76-3.08, 2 Pa 2.85-2.94
Pa6 0.4790 0.5135 0.3010  3 Os 2.84-2.88, 1 Pa 2.85, 1 Rh 2.93
Pa7 0.3995 0.7282 0.8999  1 Os 2.75, 3 Rh 2.76-3.08, 2 Pa 2.85-2.94
Pa8 0.9790 0.3010 0.5135  3 Os 2.84-2.88, 1 Pa 2.85, 1 Rh 2.93
Pa9 0.8492 0.6735 0.0377  2 Rh 2.70-3.02, 2 Os 2.80-2.87, 1 Pa 2.94
Pa10 0.5210 0.4865 0.6990  3 Os 2.84-2.88, 1 Pa 2.85, 1 Rh 2.93
Pa11 0.1508 0.3265 0.9623  2 Rh 2.70-3.02, 2 Os 2.80-2.87, 1 Pa 2.94
Pa12 0.1005 0.1001 0.2718  1 Os 2.75, 3 Rh 2.76-3.08, 2 Pa 2.85-2.94
Rh1 0.7500 0.0008 0.9992  6 Pa 2.76-3.02, 3 Rh 2.84-3.04
Rh2 0.2500 0.7772 0.2228  4 Pa 2.70-2.93, 1 Rh 2.84, 2 Os 2.97
Rh3 0.7500 0.2228 0.7772  4 Pa 2.70-2.93, 1 Rh 2.84, 2 Os 2.97
Rh4 0.2500 0.9992 0.0008  6 Pa 2.76-3.02, 3 Rh 2.84-3.04
Os1 0.0012 0.5407 0.7641  6 Pa 2.75-2.88, 1 Rh 2.97
Os2 0.4988 0.2359 0.4593  6 Pa 2.75-2.88, 1 Rh 2.97
Os3 0.5012 0.7641 0.5407  6 Pa 2.75-2.88, 1 Rh 2.97
Os4 0.9988 0.4593 0.2359  6 Pa 2.75-2.88, 1 Rh 2.97

Record 6
The following is a DFT calculation (PBE) of a relaxed structure of Pa2OsRh.

Properties
Energy of formation from the pure elements = -627 meV per atom
Symmetry = P-1, No. 2
E above lowest polymorph = 0.0 meV/atom
Calculated volume = 21.38 Å³/atom

Unit cell a=5.5369 b=5.5184 c=16.3074 alpha=59.84 beta=59.63 gamma=92.16
With the nearest neighbours (Å) after each atom.
Fractional coordinates of all 16 atoms:
Pa1 0.1761 0.9306 0.6347  2 Os 2.78-2.79, 3 Rh 2.79-2.96
Pa2 0.3301 0.5842 0.3607  2 Rh 2.79-2.80, 3 Os 2.80-2.91
Pa3 0.8239 0.0694 0.3653  2 Os 2.78-2.79, 3 Rh 2.79-2.96
Pa4 0.8303 0.0846 0.8606  2 Rh 2.79-2.80, 3 Os 2.80-2.91
Pa5 0.3241 0.5697 0.8652  2 Os 2.78-2.79, 3 Rh 2.79-2.96
Pa6 0.1697 0.9154 0.1394  2 Rh 2.79-2.80, 3 Os 2.80-2.91
Pa7 0.6759 0.4303 0.1348  2 Os 2.78-2.79, 3 Rh 2.79-2.96
Pa8 0.6699 0.4158 0.6393  2 Rh 2.79-2.80, 3 Os 2.80-2.91
Rh1 0.2719 0.0239 0.3992  5 Pa 2.79-2.96, 1 Rh 3.00, 1 Os 3.01
Rh2 0.7281 0.9761 0.6008  5 Pa 2.79-2.96, 1 Rh 3.00, 1 Os 3.01
Rh3 0.2279 0.4757 0.1008  5 Pa 2.79-2.96, 1 Rh 3.00, 1 Os 3.02
Rh4 0.7721 0.5243 0.8992  5 Pa 2.79-2.96, 1 Rh 3.00, 1 Os 3.02
Os1 0.2308 0.4824 0.6005  5 Pa 2.78-2.91, 1 Rh 3.01, 1 Os 3.02
Os2 0.7692 0.5176 0.3995  5 Pa 2.78-2.91, 1 Rh 3.01, 1 Os 3.02
Os3 0.2694 0.0179 0.8995  5 Pa 2.78-2.91, 1 Rh 3.02, 1 Os 3.02
Os4 0.7306 0.9821 0.1005  5 Pa 2.78-2.91, 1 Rh 3.02, 1 Os 3.02

Record 7
The following is a DFT calculation (PBE) of a relaxed structure of Pa2OsRh.

Properties
Energy of formation from the pure elements = 146 meV per atom
Symmetry = R-3m, No. 166
E above lowest polymorph = 773.2 meV/atom
Calculated volume = 20.13 Å³/atom

Unit cell a=3.0728 b=3.0728 c=10.0031 alpha=81.16 beta=81.16 gamma=60.00
With the nearest neighbours (Å) after each atom.
Fractional coordinates of all 4 atoms:
Pa1 0.9128 0.9128 0.2615  1 Os 2.57
Pa2 0.0872 0.0872 0.7385  1 Os 2.57
Rh1 0.5000 0.5000 0.5000  6 Pa 2.94, 6 Rh 3.07
Os1 0.0000 0.0000 0.0000  2 Pa 2.57

Record 8
The following is a DFT calculation (PBE) of a relaxed structure of PaOsRh.

Properties
Energy of formation from the pure elements = -117 meV per atom
Symmetry = P4/nmm, No. 129
E above lowest polymorph = 382.8 meV/atom
Calculated volume = 19.85 Å³/atom

Unit cell a=3.9039 b=3.9039 c=7.8166 alpha=90.00 beta=90.00 gamma=90.00
With the nearest neighbours (Å) after each atom.
Fractional coordinates of all 6 atoms:
Rh1 0.0000 0.5000 0.9649  1 Pa 2.48, 1 Os 2.61
Rh2 0.5000 0.0000 0.0351  1 Pa 2.48, 1 Os 2.61
Pa1 0.5000 0.0000 0.3518  1 Rh 2.48, 1 Os 2.73
Pa2 0.0000 0.5000 0.6482  1 Rh 2.48, 1 Os 2.73
Os1 0.5000 0.0000 0.7013  1 Rh 2.61, 5 Pa 2.73-2.79
Os2 0.0000 0.5000 0.2987  1 Rh 2.61, 5 Pa 2.73-2.79